# 1
Entry from Alexandria via LeMat-Bulk: an optimized crystal structure of SiPdN (GGA-PBE).

Output
Total moment, μB per formula unit: 0.00
E_tot, eV for the cell shown: -19.4

Cell: 2.828 3.410 4.712 Å, 110.86 90.02 89.98°
Positions (direct):
Si: 0.556 0.734 0.196
Pd: 0.055 0.375 0.485
N: 0.055 0.622 0.970

***

# 2
Entry from Alexandria via LeMat-Bulk: an optimized crystal structure of SiTePdN2 (GGA-PBE).

Output
Total moment, μB per formula unit: 2.89
E_tot, eV for the cell shown: -22.8

Cell: 4.013 4.013 5.721 Å, 90.00 90.00 90.00°
Last column: magnetic moment on the atom in μB.
Positions (direct):
Si: 0.500 0.500 0.500  -0.09
Te: 0.000 0.000 0.500  0.03
Pd: 0.000 0.000 0.000  0.38
N: 0.000 0.500 0.000  0.98
N: 0.500 0.000 0.000  0.98

***

# 3
Entry from Alexandria via LeMat-Bulk: an optimized crystal structure of SiTePdN2 (GGA-PBE).

Output
Total moment, μB per formula unit: 0.00
E_tot, eV for the cell shown: -27.1

Cell: 3.564 3.564 7.180 Å, 90.00 90.00 90.00°
Positions (direct):
Si: 0.000 0.000 0.000
Te: 0.000 0.000 0.500
Pd: 0.500 0.500 0.500
N: 0.000 0.500 0.000
N: 0.500 0.000 0.000

***

# 4
Entry from Alexandria via LeMat-Bulk: an optimized crystal structure of SiTe2PdN (GGA-PBE).

Output
Total moment, μB per formula unit: 0.00
E_tot, eV for the cell shown: -21.1

Cell: 5.521 5.521 3.700 Å, 90.00 90.00 90.00°
Positions (direct):
Si: 0.500 0.500 0.500
Te: 0.000 0.500 0.000
Te: 0.500 0.000 0.000
Pd: 0.000 0.000 0.000
N: 0.000 0.000 0.500

***

# 5
Entry from Alexandria via LeMat-Bulk: an optimized crystal structure of SiTe2PdN (GGA-PBE).

Output
Total moment, μB per formula unit: 0.00
E_tot, eV for the cell shown: -24.2

Cell: 5.510 5.510 3.238 Å, 90.00 90.00 90.00°
Positions (direct):
Si: 0.000 0.000 0.000
Te: 0.000 0.500 0.000
Te: 0.500 0.000 0.000
Pd: 0.500 0.500 0.500
N: 0.000 0.000 0.500

***

# 6
Entry from Alexandria via LeMat-Bulk: an optimized crystal structure of Sm2PdN (GGA-PBE).

Output
Total moment, μB per formula unit: 0.00
E_tot, eV for the cell shown: -25.6

Cell: 3.464 3.464 8.482 Å, 78.22 78.22 60.00°
Positions (direct):
Pd: 0.000 0.000 0.000
Sm: 0.110 0.110 0.670
Sm: 0.890 0.890 0.330
N: 0.500 0.500 0.500